The following is a DFT calculation (GGA-PBE) of Co3AgTe after structural relaxation.

a = 4.6507 Å, b = 4.6507 Å, c = 4.6507 Å
α = 90.00°, β = 90.00°, γ = 90.00°
With the nearest neighbours (Å) after each atom.
Fractional positions:
1 Te 0.0000 0.0000 0.0000  6 Co 2.33
2 Co 0.0000 0.5000 0.0000  2 Te 2.33
3 Co 0.0000 0.0000 0.5000  2 Te 2.33
4 Co 0.5000 0.0000 0.0000  2 Te 2.33
5 Ag 0.5000 0.5000 0.5000  12 Co 3.29

Calculated values
- energy relative to the elements, uncorrected (eV/atom) = 1.096
- V (A^3/atom) = 20.1
- raw total energy (Ry per atom) = -0.32090
- energy above the most stable polymorph in this dataset (kcal/mol of atoms) = 0.00